1.
AcBiRh4 GGA-PBE relaxed; total moment = 0.00 μB per formula unit; DFT total energy = -6.51 eV/atom; energy relative to the elements = -0.2763 eV/atom; volume = 19.47 Å³/atom
1.0
-0.7850 -4.2620 3.3657
4.0786 -1.7246 3.2404
-0.2777 0.8002 5.4214
Ac Rh Bi
1 4 1
direct
0.2500 0.2500 0.2500
0.6264 0.6264 0.1209
0.6264 0.1209 0.6264
0.6264 0.6264 0.6264
0.1209 0.6264 0.6264
0.0000 0.0000 0.0000


2.
AcBi3Rh5 GGA-PBE relaxed; total moment = 0.00 μB per formula unit; DFT total energy = -6.10 eV/atom; energy relative to the elements = -0.2689 eV/atom; volume = 22.17 Å³/atom
1.0
-3.6491 -0.5768 -2.2307
0.3743 -5.4486 4.9712
-6.4520 7.4331 8.6327
Ac Bi Rh
2 6 10
direct
0.7534 0.5067 0.7500
0.2466 0.4933 0.2500
0.3765 0.7529 0.9404
0.9468 0.8935 0.2500
0.3765 0.7529 0.5596
0.6235 0.2471 0.4404
0.0532 0.1065 0.7500
0.6235 0.2471 0.0596
0.8115 0.6230 0.4253
0.1885 0.3770 0.9254
0.0000 0.0000 0.5000
0.0000 0.0000 0.0000
0.4393 0.8785 0.1310
0.5607 0.1215 0.8690
0.5607 0.1215 0.6310
0.8115 0.6230 0.0746
0.1885 0.3770 0.5747
0.4393 0.8785 0.3690